Mn2CrTc, relaxed, DFT PBE; polymorph energy (0 for the lowest one) = 0.069 eV per atom; raw total energy = -37.7 eV for the cell shown; calculated formation energy = 155 meV/atom; space-group type = No. 8
1.0
-1.700 -4.112 0.512
0.241 -4.308 -1.202
2.704 -1.541 3.238
Cr Mn Tc
1 2 1
Direct
0.257 0.257 0.238
0.005 0.005 0.997
0.743 0.743 0.761
0.495 0.495 0.504